1.
A relaxed structure of SnBiTe2. Source: Alexandria, functional GGA-PBE.

abc: 4.9740 6.5276 18.2112
angles: 90.00 90.00 90.00
Element x y z (fractional)
Sn: 0.2500 0.7905 0.6655
Sn: 0.2500 0.2905 0.8345
Sn: 0.7500 0.7095 0.1655
Sn: 0.7500 0.2095 0.3345
Bi: 0.7500 0.2912 0.5508
Bi: 0.7500 0.7912 0.9492
Bi: 0.2500 0.2088 0.0508
Bi: 0.2500 0.7088 0.4492
Te: 0.7500 0.1775 0.1612
Te: 0.7500 0.8063 0.5650
Te: 0.2500 0.3225 0.6612
Te: 0.2500 0.6937 0.0650
Te: 0.2500 0.8225 0.8388
Te: 0.2500 0.1937 0.4350
Te: 0.7500 0.6775 0.3388
Te: 0.7500 0.3063 0.9350

Summary:
Energy relative to the elements, uncorrected, kJ/mol of formula units: -37
SG: Pnma, No. 62

2.
A relaxed structure of SnBiTe2. Source: Alexandria, functional GGA-PBE.

abc: 4.4557 4.6769 12.8406
angles: 100.49 90.00 90.00
Element x y z (fractional)
Bi: 0.7500 0.5569 0.1139
Bi: 0.2500 0.4431 0.8861
Te: 0.2500 0.3180 0.6360
Te: 0.7500 0.6820 0.3640
Te: 0.7500 0.9340 0.8680
Te: 0.2500 0.0660 0.1320
Sn: 0.7500 0.8135 0.6269
Sn: 0.2500 0.1865 0.3731

Summary:
Energy relative to the elements, uncorrected, kJ/mol of formula units: -60
SG: Cmcm, No. 63

3.
A relaxed structure of SnBi2Te. Source: Alexandria, functional GGA-PBE.

abc: 7.3054 7.3054 8.5774
angles: 64.80 64.80 90.00
Element x y z (fractional)
Te: 0.7500 0.2500 0.5000
Te: 0.0000 0.0000 0.0000
Sn: 0.2500 0.7500 0.5000
Sn: 0.5000 0.5000 0.0000
Bi: 0.3750 0.3852 0.7500
Bi: 0.6148 0.1250 0.2500
Bi: 0.8750 0.8648 0.7500
Bi: 0.1352 0.6250 0.2500

Summary:
Energy relative to the elements, uncorrected, kJ/mol of formula units: 68
Distance to the lowest polymorph of the same formula, meV per atom: 276
SG: I-42d, No. 122

4.
A relaxed structure of Tl3SnBi2Te6. Source: Alexandria, functional GGA-PBE.

abc: 7.8590 7.8590 8.3288
angles: 99.01 99.01 119.96
Element x y z (fractional)
Bi: 0.3339 0.6661 0.0000
Bi: 0.6661 0.3339 0.0000
Te: 0.9264 0.5974 0.7771
Te: 0.5974 0.9264 0.7771
Te: 0.2532 0.2532 0.7739
Te: 0.4026 0.0736 0.2229
Te: 0.7468 0.7468 0.2261
Te: 0.0736 0.4026 0.2229
Sn: 0.0000 0.0000 0.0000
Tl: 0.5000 0.5000 0.5000
Tl: 0.8279 0.1721 0.5000
Tl: 0.1721 0.8279 0.5000

Summary:
Energy relative to the elements, uncorrected, kJ/mol of formula units: -330
SG: C2/m, No. 12